# KLiPrTl (PBE-GGA, optimized geometry)
data_KLiPrTl
_symmetry_space_group_name_H-M 'F -4 3 m'
_symmetry_Int_Tables_number 216
_symmetry_space_group_name_Hall 'F -4 2 3'
_cell_length_a 7.728
_cell_length_b 7.728
_cell_length_c 7.728
_cell_angle_alpha 90.00
_cell_angle_beta 90.00
_cell_angle_gamma 90.00
loop_
_atom_site_label
_atom_site_type_symbol
_atom_site_fract_x
_atom_site_fract_y
_atom_site_fract_z
K1 K 0.000 0.000 0.000
Li1 Li 0.250 0.250 0.250
Pr1 Pr 0.250 0.250 0.750
Tl1 Tl 0.000 0.000 0.500
# - calculated volume (Å³/cell) = 461.5
# - E (eV/atom) = -2.520
# - M_tot (μB per formula unit) = 0.00
# - DFT formation energy (eV/atom) = 0.02

# K2LiPt (PBE-GGA, optimized geometry)
data_K2LiPt
_symmetry_space_group_name_H-M 'I m m 2'
_symmetry_Int_Tables_number 44
_cell_length_a 4.175
_cell_length_b 5.579
_cell_length_c 10.515
_cell_angle_alpha 90.00
_cell_angle_beta 90.00
_cell_angle_gamma 90.00
loop_
_symmetry_equiv_pos_as_xyz
'x,y,z'
'-x,-y,z'
'-x,y,z'
'x,-y,z'
'x+1/2,y+1/2,z+1/2'
'-x+1/2,-y+1/2,z+1/2'
'-x+1/2,y+1/2,z+1/2'
'x+1/2,-y+1/2,z+1/2'
loop_
_atom_site_label
_atom_site_type_symbol
_atom_site_fract_x
_atom_site_fract_y
_atom_site_fract_z
K1 K 0.000 0.000 0.000
K2 K 0.000 0.500 0.201
Li1 Li 0.000 0.500 0.814
Pt1 Pt 0.000 0.000 0.435
# - offset from the most stable computed form (eV per atom) = 0.090
# - calculated volume (Å³/cell) = 244.9
# - E (eV/atom) = -2.559
# - M_tot (μB per formula unit) = 0.00
# - DFT formation energy (eV/atom) = -0.02

# KLi2Pt2 (PBE-GGA, optimized geometry)
data_KLi2Pt2
_symmetry_space_group_name_H-M 'I 4/m m m'
_symmetry_Int_Tables_number 139
_symmetry_space_group_name_Hall '-I 4 2'
_cell_length_a 4.554
_cell_length_b 4.554
_cell_length_c 9.900
_cell_angle_alpha 90.00
_cell_angle_beta 90.00
_cell_angle_gamma 90.00
loop_
_atom_site_label
_atom_site_type_symbol
_atom_site_fract_x
_atom_site_fract_y
_atom_site_fract_z
K1 K 0.000 0.000 0.000
Li1 Li 0.000 0.500 0.250
Pt1 Pt 0.000 0.000 0.370
# - offset from the most stable computed form (eV per atom) = 0.168
# - calculated volume (Å³/cell) = 205.3
# - E (eV/atom) = -3.544
# - M_tot (μB per formula unit) = 0.00
# - DFT formation energy (eV/atom) = -0.14

# KLiPt2 (PBE-GGA, optimized geometry)
data_KLiPt2
_symmetry_space_group_name_H-M 'P m m m'
_symmetry_Int_Tables_number 47
_cell_length_a 2.736
_cell_length_b 4.112
_cell_length_c 7.129
_cell_angle_alpha 90.00
_cell_angle_beta 90.00
_cell_angle_gamma 90.00
loop_
_symmetry_equiv_pos_as_xyz
'x,y,z'
'-x,-y,-z'
'-x,-y,z'
'x,y,-z'
'x,-y,-z'
'-x,y,z'
'-x,y,-z'
'x,-y,z'
loop_
_atom_site_label
_atom_site_type_symbol
_atom_site_fract_x
_atom_site_fract_y
_atom_site_fract_z
K1 K 0.000 0.000 0.000
Li1 Li 0.000 0.000 0.500
Pt1 Pt 0.500 0.500 0.318
# - offset from the most stable computed form (eV per atom) = 0.123
# - calculated volume (Å³/cell) = 80.2
# - E (eV/atom) = -3.819
# - M_tot (μB per formula unit) = 0.27
# - DFT formation energy (eV/atom) = -0.05

Question: What is the E in the first record?
Answer: -2.520 eV/atom